Computed, not measured: crystalline NaMoH2F at its relaxed geometry at the GGA+U level of DFT.

abc: 3.990 3.990 4.020
angles: 90.00 90.00 90.00
Element x y z (fractional)
Na (0.000, 0.000, 0.000)
Mo (0.500, 0.500, 0.500)
H (0.000, 0.500, 0.000)
H (0.500, 0.000, 0.000)
F (0.000, 0.000, 0.500)

Symmetry: P4/mmm
M_tot, μB per formula unit: 4.00
VASP energy, eV per atom: -3.361
ρ, Mg/m³: 3.632